The following is a GGA-PBE calculation of a relaxed Tl2BMoC crystal, from Alexandria via LeMat-Bulk.

```
Tl2BMoC
1.0
5.6090 0.0000 0.0000
0.0000 5.6090 0.0000
0.0000 0.0000 2.8436
Tl B Mo C
2 1 1 1
direct
0.0000 0.5000 0.0000 Tl
0.5000 0.0000 0.0000 Tl
0.0000 0.0000 0.0000 B
0.5000 0.5000 0.5000 Mo
0.0000 0.0000 0.5000 C
```

Properties
Space group: P4/mmm (123)
ρ: 9.8 Mg/m³
Total energy: -5.4008 eV/atom
ΔE_f: 0.89 eV per atom